Compound: Ce4BiIr
Source: Alexandria via LeMat-Bulk
Functional: PBE
Structure: relaxed

Structure (POSCAR):
```
Ce4BiIr
1.0
5.8459 -0.5708 0.0000
-2.2008 7.8151 0.0000
-1.8226 -3.6222 7.2070
Ce Bi Ir
8 2 2
Direct
0.9423 0.7893 0.1578
0.1889 0.2708 0.3797
0.8111 0.7292 0.6203
0.3092 0.8911 0.6203
0.7155 0.3684 0.1578
0.0577 0.2107 0.8422
0.2845 0.6316 0.8422
0.6908 0.1089 0.3797
0.6279 0.3779 0.7558
0.3721 0.6221 0.2442
0.2633 0.0133 0.0266
0.7367 0.9867 0.9734
```

- E above lowest polymorph (eV/atom) = 0.0214
- energy of formation from the pure elements (meV/atom) = -477